[1]
First-principles (PBE-GGA) data for NaBeGeAu after structural relaxation, as listed in OQMD via LeMat-Bulk.

- symmetry = No. 216
- VASP energy (eV/atom) = -3.02
- offset from the most stable computed form (eV/atom) = 0.023

Lattice parameters (Å, degrees): 4.5243 4.5243 4.5243 60.00 60.00 60.00
With the nearest neighbours (Å) after each atom.
Atoms (fractional coordinates):
Au: 0.7500 0.7500 0.7500  4 Na 2.77, 4 Be 2.77
Be: 0.0000 0.0000 0.0000  4 Au 2.77, 4 Ge 2.77
Ge: 0.2500 0.2500 0.2500  4 Na 2.77, 4 Be 2.77
Na: 0.5000 0.5000 0.5000  4 Au 2.77, 4 Ge 2.77


[2]
First-principles (PBE-GGA) data for NaBeGeAu after structural relaxation, as listed in OQMD via LeMat-Bulk.

- symmetry = No. 216
- VASP energy (eV/atom) = -3.05
- offset from the most stable computed form (eV/atom) = 0.000

Lattice parameters (Å, degrees): 4.4982 4.4982 4.4982 60.00 60.00 60.00
With the nearest neighbours (Å) after each atom.
Atoms (fractional coordinates):
Au: 0.7500 0.7500 0.7500  4 Be 2.75, 4 Ge 2.75
Be: 0.5000 0.5000 0.5000  4 Na 2.75, 4 Au 2.75
Ge: 0.0000 0.0000 0.0000  4 Na 2.75, 4 Au 2.75
Na: 0.2500 0.2500 0.2500  4 Be 2.75, 4 Ge 2.75


[3]
First-principles (PBE-GGA) data for BeNiGeAu after structural relaxation, as listed in OQMD via LeMat-Bulk.

- symmetry = No. 216
- VASP energy (eV/atom) = -4.21

Lattice parameters (Å, degrees): 4.2547 4.2547 4.2547 60.00 60.00 60.00
With the nearest neighbours (Å) after each atom.
Atoms (fractional coordinates):
Au: 0.5000 0.5000 0.5000  4 Be 2.61, 4 Ni 2.61
Be: 0.2500 0.2500 0.2500  4 Ge 2.61, 4 Au 2.61
Ge: 0.0000 0.0000 0.0000  4 Ni 2.61, 4 Be 2.61
Ni: 0.7500 0.7500 0.7500  4 Au 2.61, 4 Ge 2.61


[4]
First-principles (PBE-GGA) data for RbBeGeAu after structural relaxation, as listed in OQMD via LeMat-Bulk.

- symmetry = No. 216
- VASP energy (eV/atom) = -2.43
- offset from the most stable computed form (eV/atom) = 0.024

Lattice parameters (Å, degrees): 5.0347 5.0347 5.0347 60.00 60.00 60.00
With the nearest neighbours (Å) after each atom.
Atoms (fractional coordinates):
Au: 0.7500 0.7500 0.7500  4 Rb 3.08, 4 Ge 3.08
Be: 0.2500 0.2500 0.2500  4 Rb 3.08, 4 Ge 3.08
Ge: 0.0000 0.0000 0.0000  4 Au 3.08, 4 Be 3.08
Rb: 0.5000 0.5000 0.5000  4 Au 3.08, 4 Be 3.08